Entry 1:
A relaxed Er6In5Pb crystal, computed with GGA-PBE.

Calculated values
**Total magnetization**: 0.0 Bohr magnetons per cell
**E_form**: -0.43 eV/atom
**Space-group type**: Cmmm, No. 65
**Distance to the lowest polymorph of the same formula**: 0.000 eV/atom

Geometry as CIF:
```
data_Er6In5Pb
_chemical_formula_sum 'Er6 In5 Pb1'
_space_group_name_H-M_alt 'P 1'
_space_group_IT_number 1
_space_group_name_Hall 'P 1'
_cell_length_a 4.929
_cell_length_b 8.633
_cell_length_c 7.790
_cell_angle_alpha 90.00
_cell_angle_beta 71.57
_cell_angle_gamma 90.00
loop_
_atom_site_label
_atom_site_fract_x
_atom_site_fract_y
_atom_site_fract_z
Pb1 0.000 0.000 0.000
Er1 0.833 0.748 0.334
Er2 0.833 0.252 0.334
Er3 0.500 0.251 0.000
Er4 0.500 0.749 0.000
Er5 0.167 0.748 0.666
Er6 0.167 0.252 0.666
In1 0.666 0.500 0.668
In2 0.329 0.000 0.342
In3 0.000 0.500 0.000
In4 0.671 0.000 0.658
In5 0.334 0.500 0.332
```

Entry 2:
A relaxed Er5In2Pb2 crystal, computed with GGA-PBE.

Calculated values
**Total magnetization**: 0.0 Bohr magnetons per cell
**E_form**: -0.46 eV/atom
**Space-group type**: Cmce, No. 64

Geometry as CIF:
```
data_Er5In2Pb2
_chemical_formula_sum 'Er10 In4 Pb4'
_space_group_name_H-M_alt 'P 1'
_space_group_IT_number 1
_space_group_name_Hall 'P 1'
_cell_length_a 8.039
_cell_length_b 8.148
_cell_length_c 8.847
_cell_angle_alpha 117.42
_cell_angle_beta 90.00
_cell_angle_gamma 90.00
loop_
_atom_site_label
_atom_site_fract_x
_atom_site_fract_y
_atom_site_fract_z
Er1 0.000 0.000 0.000
Er2 0.500 0.500 0.000
Er3 0.828 0.811 0.273
Er4 0.172 0.462 0.273
Er5 0.328 0.962 0.273
Er6 0.672 0.311 0.273
Er7 0.172 0.189 0.727
Er8 0.828 0.538 0.727
Er9 0.672 0.038 0.727
Er10 0.328 0.689 0.727
In1 0.627 0.873 0.000
In2 0.373 0.127 0.000
In3 0.127 0.627 0.000
In4 0.873 0.373 0.000
Pb1 0.000 0.209 0.418
Pb2 0.500 0.709 0.418
Pb3 0.000 0.791 0.582
Pb4 0.500 0.291 0.582
```

Entry 3:
A relaxed Er2InPb3 crystal, computed with GGA-PBE.

Calculated values
**Total magnetization**: 0.0 Bohr magnetons per cell
**E_form**: -0.35 eV/atom
**Space-group type**: Cmmm, No. 65
**Distance to the lowest polymorph of the same formula**: 0.000 eV/atom

Geometry as CIF:
```
data_Er2InPb3
_chemical_formula_sum 'Er2 In1 Pb3'
_space_group_name_H-M_alt 'P 1'
_space_group_IT_number 1
_space_group_name_Hall 'P 1'
_cell_length_a 4.567
_cell_length_b 4.662
_cell_length_c 8.071
_cell_angle_alpha 90.00
_cell_angle_beta 106.43
_cell_angle_gamma 90.00
loop_
_atom_site_label
_atom_site_fract_x
_atom_site_fract_y
_atom_site_fract_z
Er1 0.150 0.500 0.300
Er2 0.850 0.500 0.700
In1 0.000 0.000 0.000
Pb1 0.326 0.000 0.652
Pb2 0.674 0.000 0.348
Pb3 0.500 0.500 0.000
```